Record 1
First-principles (PBE) data for an optimized crystal structure of BaRuAu2, as listed in Alexandria via LeMat-Bulk.

Cell: 7.2826 7.2826 7.2826 Å, 90.00 90.00 90.00°
Space group Fm-3m (No. 225)
Asymmetric unit:
Ba 0.0000 0.0000 0.0000 [4 per cell]
Ru 0.0000 0.0000 0.5000 [4 per cell]
Au 0.2500 0.2500 0.2500 [8 per cell]

Output
The value obtained for the total energy is -64.25 eV/cell. The calculation puts the total moment at 7.71 Bohr magnetons per cell. The calculation puts the density at 10.9 g/cm³. As for the formation enthalpy at 0 K: 0.42 eV/atom. The relative energy among the computed polymorphs is 0.4739 eV per atom.



Record 2
First-principles (PBE) data for an optimized crystal structure of Ba6RuAu, as listed in Alexandria via LeMat-Bulk.

Cell: 7.8605 7.8650 8.8057 Å, 89.98 63.52 60.02°
Space group P-1 (No. 2)
Asymmetric unit:
Ba 0.0240 0.3943 0.2374 [2 per cell]
Ba 0.3425 0.9194 0.7621 [2 per cell]
Ba 0.3436 0.7608 0.2370 [2 per cell]
Ru 0.5000 0.0000 0.0000 [1 per cell]
Au 0.5000 0.5000 0.5000 [1 per cell]

Output
The value obtained for the total energy is -24.91 eV/cell. The calculation puts the total moment at 0.00 Bohr magnetons per cell. The calculation puts the density at 4.6 g/cm³. As for the formation enthalpy at 0 K: -0.10 eV/atom.



Record 3
First-principles (PBE) data for an optimized crystal structure of Ba2Au2S, as listed in Alexandria via LeMat-Bulk.

Cell: 5.9417 5.9417 10.0677 Å, 90.00 90.00 90.00°
Space group I4/mmm (No. 139)
Asymmetric unit:
Ba 0.0000 0.5000 0.2500 [4 per cell]
Au 0.0000 0.0000 0.1335 [4 per cell]
S 0.0000 0.0000 0.5000 [2 per cell]

Output
The value obtained for the total energy is -35.85 eV/cell. The calculation puts the total moment at 0.00 Bohr magnetons per cell. The uncorrected formation energy comes out at -680 meV per atom. The calculation puts the density at 6.5 g/cm³. The relative energy among the computed polymorphs is 0.1535 eV per atom.



Record 4
First-principles (PBE) data for an optimized crystal structure of Ba4Au2S, as listed in Alexandria via LeMat-Bulk.

Cell: 6.2039 6.2039 15.7461 Å, 90.00 90.00 90.00°
Space group I4/mmm (No. 139)
Asymmetric unit:
Ba 0.0000 0.0000 0.2009 [4 per cell]
Ba 0.0000 0.5000 0.0000 [4 per cell]
Au 0.0000 0.0000 0.4057 [4 per cell]
S 0.0000 0.0000 0.0000 [2 per cell]

Output
The value obtained for the total energy is -48.75 eV/cell. The calculation puts the total moment at 0.00 Bohr magnetons per cell. The uncorrected formation energy comes out at -857 meV per atom. The calculation puts the density at 5.3 g/cm³.



Record 5
First-principles (PBE) data for an optimized crystal structure of Ba12Au6S, as listed in Alexandria via LeMat-Bulk.

Cell: 14.6788 14.6788 13.7412 Å, 90.00 90.00 120.00°
Space group R-3 (No. 148, hexagonal axes)
Asymmetric unit:
Ba 0.0251 0.2126 0.3915 [18 per cell]
Ba 0.0314 0.1986 0.8800 [18 per cell]
Au 0.0420 0.2641 0.6447 [18 per cell]
S 0.0000 0.0000 0.0000 [3 per cell]

Output
The value obtained for the total energy is -177.94 eV/cell. The calculation puts the total moment at 0.00 Bohr magnetons per cell. The uncorrected formation energy comes out at -655 meV per atom. The calculation puts the density at 5.6 g/cm³.



Record 6
First-principles (PBE) data for an optimized crystal structure of BaAu2S, as listed in Alexandria via LeMat-Bulk.

Cell: 5.0814 5.0814 19.0802 Å, 90.00 90.00 90.00°
Space group I-42d (No. 122)
Asymmetric unit:
Ba 0.0000 0.0000 0.0000 [4 per cell]
Au 0.0478 0.2500 0.6250 [8 per cell]
S 0.0000 0.0000 0.5000 [4 per cell]

Output
The value obtained for the total energy is -58.36 eV/cell. The calculation puts the total moment at 0.00 Bohr magnetons per cell. The uncorrected formation energy comes out at -496 meV per atom. The calculation puts the density at 7.6 g/cm³.



Record 7
First-principles (PBE) data for an optimized crystal structure of Ba2AuS2, as listed in Alexandria via LeMat-Bulk.

Cell: 6.2844 6.2844 9.2506 Å, 90.00 90.00 90.00°
Space group I4/mmm (No. 139)
Asymmetric unit:
Ba 0.0000 0.5000 0.2500 [4 per cell]
Au 0.0000 0.0000 0.0000 [2 per cell]
S 0.0000 0.0000 0.2564 [4 per cell]

Output
The value obtained for the total energy is -43.67 eV/cell. The calculation puts the total moment at 0.00 Bohr magnetons per cell. The uncorrected formation energy comes out at -1292 meV per atom. The calculation puts the density at 4.9 g/cm³. The relative energy among the computed polymorphs is 0.0132 eV per atom.



Record 8
First-principles (PBE) data for an optimized crystal structure of Ba2AuS2, as listed in Alexandria via LeMat-Bulk.

Cell: 8.4371 8.4371 4.1024 Å, 90.00 90.00 90.00°
Space group P4/mbm (No. 127)
Asymmetric unit:
Ba 0.1561 0.3439 0.0000 [4 per cell]
Au 0.0000 0.0000 0.5000 [2 per cell]
S 0.1538 0.6538 0.5000 [4 per cell]

Output
The value obtained for the total energy is -43.80 eV/cell. The calculation puts the total moment at 0.00 Bohr magnetons per cell. The uncorrected formation energy comes out at -1305 meV per atom. The calculation puts the density at 6.1 g/cm³. The relative energy among the computed polymorphs is 0.0000 eV per atom.



Record 9
First-principles (PBE) data for an optimized crystal structure of BaAuS2, as listed in Alexandria via LeMat-Bulk.

Cell: 7.2496 7.2496 7.2496 Å, 90.00 90.00 90.00°
Space group Fm-3m (No. 225)
Asymmetric unit:
Ba 0.0000 0.0000 0.0000 [4 per cell]
Au 0.0000 0.0000 0.5000 [4 per cell]
S 0.2500 0.2500 0.2500 [8 per cell]

Output
The value obtained for the total energy is -61.93 eV/cell. The calculation puts the total moment at 3.94 Bohr magnetons per cell. The uncorrected formation energy comes out at -507 meV per atom. The calculation puts the density at 6.9 g/cm³.



Record 10
First-principles (PBE) data for an optimized crystal structure of BaAuS3, as listed in Alexandria via LeMat-Bulk.

Cell: 4.9562 4.9562 4.9562 Å, 90.00 90.00 90.00°
Space group Pm-3m (No. 221)
Asymmetric unit:
Ba 0.0000 0.0000 0.0000 [1 per cell]
Au 0.5000 0.5000 0.5000 [1 per cell]
S 0.0000 0.5000 0.5000 [3 per cell]

Output
The value obtained for the total energy is -20.49 eV/cell. The calculation puts the total moment at 0.00 Bohr magnetons per cell. The uncorrected formation energy comes out at -582 meV per atom. The calculation puts the density at 5.9 g/cm³. The relative energy among the computed polymorphs is 0.1682 eV per atom.



Record 11
First-principles (PBE) data for an optimized crystal structure of Ba6Au2S, as listed in Alexandria via LeMat-Bulk.

Cell: 8.1574 7.6269 16.1991 Å, 90.00 120.21 90.00°
Space group P2_1/c (No. 14)
Asymmetric unit:
Ba 0.0019 0.2437 0.3393 [4 per cell]
Ba 0.3239 0.2421 0.6611 [4 per cell]
Ba 0.3287 0.7326 0.9998 [4 per cell]
Au 0.3265 0.0008 0.3267 [4 per cell]
S 0.0000 0.0000 0.5000 [2 per cell]

Output
The value obtained for the total energy is -58.16 eV/cell. The calculation puts the total moment at 0.29 Bohr magnetons per cell. The uncorrected formation energy comes out at -762 meV per atom. The calculation puts the density at 4.8 g/cm³.



Record 12
First-principles (PBE) data for an optimized crystal structure of BaAu2S2, as listed in Alexandria via LeMat-Bulk.

Cell: 4.1242 4.1242 13.4816 Å, 90.00 90.00 90.00°
Space group I4/mmm (No. 139)
Asymmetric unit:
Ba 0.0000 0.0000 0.0000 [2 per cell]
Au 0.0000 0.5000 0.2500 [4 per cell]
S 0.0000 0.0000 0.3839 [4 per cell]

Output
The value obtained for the total energy is -39.52 eV/cell. The calculation puts the total moment at 0.00 Bohr magnetons per cell. The uncorrected formation energy comes out at -606 meV per atom. The calculation puts the density at 8.6 g/cm³.